Record 1
VASP calculation (PBE) on a relaxed structure of Ca3Dy3MgS8.

```
15
Lattice="-2.050 -7.543 -0.604 3.181 2.677 6.646 -7.393 2.166 -1.957" Properties=species:S:1:pos:R:3 pbc="T T T"
Dy -2.106 2.422 2.344
Dy -3.131 -1.350 2.042
Dy -4.722 -2.688 -1.281
S -4.377 1.061 1.600
S -3.522 -5.138 -0.936
S -0.811 0.004 2.698
S -5.452 -2.704 1.387
S -3.795 -1.442 4.709
S -2.740 2.439 5.020
S -1.885 -3.761 2.485
S -2.467 -1.257 -0.625
Mg -3.697 1.083 -0.979
Ca 1.590 1.339 3.323
Ca 0.000 0.000 0.000
Ca 0.565 -2.433 3.021
```

## Properties
- Formation energy without anion corrections: -29.93 eV per formula unit

Record 2
VASP calculation (PBE) on a relaxed structure of KPd5Pb2.

```
8
Lattice="4.128 0.000 0.000 2.064 6.656 0.581 2.064 1.794 6.436" Properties=species:S:1:pos:R:3 pbc="T T T"
K 0.000 0.000 0.000
Pd 4.128 2.221 3.681
Pd 2.064 4.225 3.509
Pd 4.128 4.424 5.510
Pd 4.128 4.027 1.507
Pd 4.128 6.229 3.336
Pb 6.192 6.337 5.263
Pb 2.064 2.113 1.755
```

## Properties
- DFT formation energy: -3.65 kcal/mol of atoms

Record 3
VASP calculation (PBE) on a relaxed structure of PmPdPb2.

```
4
Lattice="3.551 0.000 0.000 0.000 3.551 0.000 0.000 0.000 7.885" Properties=species:S:1:pos:R:3 pbc="T T T"
Pm 1.776 1.776 3.943
Pb 0.000 0.000 6.229
Pb 0.000 0.000 1.656
Pd 1.776 1.776 0.000
```

## Properties
- DFT formation energy: -6.99 kcal/mol of atoms

Record 4
VASP calculation (PBE) on a relaxed structure of Pr2YIr.

```
16
Lattice="6.457 0.000 0.000 0.000 7.360 0.000 0.000 0.000 9.964" Properties=species:S:1:pos:R:3 pbc="T T T"
Pr 1.117 4.991 4.325
Pr 1.117 4.991 0.657
Pr 4.345 6.048 9.307
Pr 5.340 2.368 5.639
Pr 2.112 1.311 4.325
Pr 4.345 6.048 5.639
Pr 2.112 1.311 0.657
Pr 5.340 2.368 9.307
Ir 2.914 6.471 2.491
Ir 0.314 2.791 2.491
Ir 3.543 0.888 7.473
Ir 6.142 4.568 7.473
Y 0.965 7.080 7.473
Y 2.263 3.400 7.473
Y 4.193 3.960 2.491
Y 5.492 0.280 2.491
```

## Properties
- DFT formation energy: -10.59 kcal/mol of atoms

Record 5
VASP calculation (PBE) on a relaxed structure of LiH4.

```
5
Lattice="-0.613 -2.094 -2.406 3.052 -1.096 0.177 -0.926 -2.228 2.175" Properties=species:S:1:pos:R:3 pbc="T T T"
H -0.769 -2.161 -0.116
H 1.063 -1.662 1.176
H 0.000 0.000 0.000
H 1.220 -1.595 -1.115
Li 0.757 -2.709 -0.027
```

## Properties
- Total DFT energy (no corrections): -1.906 eV per atom

Record 6
VASP calculation (PBE) on a relaxed structure of Cs2CeInI6.

```
20
Lattice="8.918 0.000 0.000 0.000 9.616 0.000 0.000 0.000 12.992" Properties=species:S:1:pos:R:3 pbc="T T T"
Ce 0.000 7.495 0.000
Ce 4.459 2.121 6.496
Cs 4.459 7.731 10.219
Cs 0.000 1.886 3.723
Cs 0.000 1.886 9.270
Cs 4.459 7.731 2.773
I 4.459 2.068 9.637
I 6.757 0.185 0.000
I 0.000 7.548 3.141
I 6.599 5.406 0.000
I 2.161 0.185 0.000
I 2.139 4.210 6.496
I 2.320 5.406 0.000
I 0.000 7.548 9.852
I 2.298 9.431 6.496
I 6.779 4.210 6.496
I 4.459 2.068 3.356
I 6.620 9.431 6.496
In 4.459 2.730 0.000
In 0.000 6.886 6.496
```

## Properties
- Formation energy without anion corrections: -12.56 eV per formula unit

Record 7
VASP calculation (PBE) on a relaxed structure of Pr2Ho2Al.

```
5
Lattice="-3.031 2.164 3.255 -3.421 -2.684 2.357 3.422 -1.782 8.128" Properties=species:S:1:pos:R:3 pbc="T T T"
Ho -1.439 -1.967 11.241
Ho -1.591 -0.335 2.499
Al 0.000 0.000 0.000
Pr -0.424 -1.466 8.096
Pr -2.606 -0.836 5.645
```

## Properties
- DFT formation energy: 9.22 kcal/mol of atoms

Record 8
VASP calculation (PBE) on a relaxed structure of CeTm2Zn.

```
4
Lattice="3.486 0.000 0.000 1.743 3.019 0.000 1.743 1.006 10.285" Properties=species:S:1:pos:R:3 pbc="T T T"
Zn 3.486 2.013 0.011
Tm 1.743 1.006 8.066
Tm 1.743 1.006 2.219
Ce 3.486 2.013 5.131
```

## Properties
- DFT formation energy: -0.44 kcal/mol of atoms

Record 9
VASP calculation (PBE) on a relaxed structure of K7Na2Hg.

```
20
Lattice="9.858 0.000 4.808 3.944 10.474 4.424 0.574 0.052 11.335" Properties=species:S:1:pos:R:3 pbc="T T T"
K 2.815 3.203 12.854
K 5.001 10.211 11.924
K 4.983 4.948 5.137
K 9.393 5.578 15.430
K 10.945 4.278 11.090
K 9.540 8.414 11.857
K 3.431 6.248 9.477
K 11.561 7.323 7.713
K 4.836 2.111 8.710
K 7.304 2.657 12.479
K 7.071 7.868 8.088
K 7.878 0.985 4.867
K 6.498 9.540 15.700
K 9.375 0.315 8.643
Na 8.279 4.147 8.004
Na 3.805 1.116 4.667
Na 6.097 6.379 12.563
Na 10.571 9.410 15.900
Hg 11.195 2.657 14.376
Hg 3.181 7.868 6.191
```

## Properties
- DFT formation energy: -0.69 kcal/mol of atoms

Record 10
VASP calculation (PBE) on a relaxed structure of Y2ScP.

```
4
Lattice="-1.698 2.671 5.443 -2.487 5.780 0.218 -0.488 -5.814 -2.367" Properties=species:S:1:pos:R:3 pbc="T T T"
Y -3.377 6.820 4.569
Y -0.807 1.630 1.092
P -1.488 -0.017 -1.075
Sc -1.093 -1.572 1.538
```

## Properties
- DFT formation energy: -11.21 kcal/mol of atoms

Record 11
VASP calculation (PBE) on a relaxed structure of Cr4Pt.

```
5
Lattice="-0.429 3.528 3.325 -4.146 -1.997 1.584 2.513 -2.693 3.182" Properties=species:S:1:pos:R:3 pbc="T T T"
Cr 1.042 0.418 3.254
Cr 0.000 0.000 0.000
Cr -0.817 -2.345 2.383
Cr -2.288 0.766 2.455
Pt -1.031 -0.581 4.046
```

## Properties
- DFT formation energy: 33.88 kcal/mol of atoms

Record 12
VASP calculation (PBE) on a relaxed structure of MgRhSeN2.

```
5
Lattice="-2.495 -0.383 2.860 -1.403 -3.143 -1.645 3.669 -3.095 2.785" Properties=species:S:1:pos:R:3 pbc="T T T"
Se 1.834 -1.548 1.392
N -1.247 -0.192 1.430
N -0.702 -1.571 -0.822
Rh 0.000 0.000 0.000
Mg -0.115 -3.311 2.000
```

## Properties
- Formation energy without anion corrections: 2.87 eV per formula unit

Calculated volume (Å³/atom)
23.19; 21.57; 24.86; 29.59; 6.85; 55.71; 36.16; 27.06; 57.01; 24.79; 23.06; 16.15